[1]
{
  "formula": "AcNiSb",
  "functional": "PBE",
  "state": "relaxed",
  "de_polymorph_kj_per_mol_atoms": 87.5,
  "space_group": "F-43m (216)",
  "rho_g_cm3": 6.93,
  "final_energy_ev_per_atom": -4.410,
  "cell": [[2.024, -0.231, 4.750], [0.893, 4.351, 2.643], [-2.909, 1.171, 4.108]],
  "species": ["Sb", "Ni", "Ac"],
  "fractional_positions": [[0.750, 0.750, 0.750], [0.250, 0.250, 0.250], [0.000, 0.000, 0.000]]
}

***

[2]
{
  "formula": "AcNiSb",
  "functional": "PBE",
  "state": "relaxed",
  "de_polymorph_kj_per_mol_atoms": 0.0,
  "space_group": "F-43m (216)",
  "rho_g_cm3": 8.51,
  "final_energy_ev_per_atom": -5.318,
  "cell": [[0.000, 3.413, 3.413], [3.413, 0.000, 3.413], [3.413, 3.413, 0.000]],
  "species": ["Sb", "Ni", "Ac"],
  "fractional_positions": [[0.500, 0.500, 0.500], [0.250, 0.250, 0.250], [0.000, 0.000, 0.000]]
}

***

[3]
{
  "formula": "AcSi2Ni2",
  "functional": "PBE",
  "state": "relaxed",
  "space_group": "C2/c (15)",
  "rho_g_cm3": 7.58,
  "final_energy_ev_per_atom": -5.924,
  "cell": [[5.625, 0.000, 0.000], [2.481, 5.247, 0.000], [1.238, 2.624, 5.946]],
  "species": ["Ni", "Ni", "Ni", "Ni", "Si", "Si", "Si", "Si", "Ac", "Ac"],
  "fractional_positions": [[0.750, 0.750, 0.000], [0.250, 0.250, 0.000], [0.750, 0.974, 0.551], [0.250, 0.026, 0.449], [0.378, 0.000, 0.777], [0.622, 0.000, 0.223], [0.878, 0.276, 0.224], [0.122, 0.724, 0.776], [0.250, 0.613, 0.275], [0.750, 0.387, 0.725]]
}